Computed, not measured: a relaxed structure of LaNd2Y7 at the PBE level of DFT.

The formation energy is 675 meV per atom. The calculation puts the spin magnetization at 0.0 μB/cell. As for the symmetry: Cmmm, No. 65. The calculated volume is 40.30 A^3/atom. The total energy comes out at -5.296 eV/atom.

a = 9.312 Å, b = 9.312 Å, c = 5.595 Å
α = 90.00°, β = 90.00°, γ = 123.83°
Atoms (fractional coordinates):
1 La 0.000 0.000 0.000
2 Nd 0.298 0.702 0.500
3 Nd 0.702 0.298 0.500
4 Y 0.062 0.292 0.500
5 Y 0.219 0.781 0.000
6 Y 0.292 0.062 0.500
7 Y 0.500 0.500 0.500
8 Y 0.708 0.938 0.500
9 Y 0.781 0.219 0.000
10 Y 0.938 0.708 0.500

Computed, not measured: a relaxed structure of La3Nd5Y3 at the PBE level of DFT.

The formation energy is 318 meV per atom. The calculation puts the spin magnetization at 0.0 μB/cell. As for the symmetry: P-62m, No. 189. The calculated volume is 36.21 A^3/atom. The total energy comes out at -4.956 eV/atom.

a = 11.520 Å, b = 11.520 Å, c = 3.466 Å
α = 90.00°, β = 90.00°, γ = 120.00°
Atoms (fractional coordinates):
1 La 0.000 0.596 0.000
2 La 0.404 0.404 0.000
3 La 0.596 0.000 0.000
4 Nd 0.000 0.337 0.500
5 Nd 0.333 0.667 0.500
6 Nd 0.337 0.000 0.500
7 Nd 0.663 0.663 0.500
8 Nd 0.667 0.333 0.500
9 Y 0.000 0.840 0.500
10 Y 0.160 0.160 0.500
11 Y 0.840 0.000 0.500

Computed, not measured: a relaxed structure of La8Nd4Y at the PBE level of DFT.

The formation energy is 352 meV per atom. The calculation puts the spin magnetization at 0.0 μB/cell. As for the symmetry: R-3m, No. 166. The calculated volume is 38.02 A^3/atom. The total energy comes out at -4.645 eV/atom.

a = 7.970 Å, b = 7.970 Å, c = 7.970 Å
α = 96.90°, β = 96.90°, γ = 96.90°
Atoms (fractional coordinates):
1 La 0.170 0.170 0.672
2 La 0.170 0.672 0.170
3 La 0.237 0.237 0.237
4 La 0.328 0.830 0.830
5 La 0.672 0.170 0.170
6 La 0.763 0.763 0.763
7 La 0.830 0.328 0.830
8 La 0.830 0.830 0.328
9 Nd 0.000 0.000 0.000
10 Nd 0.000 0.500 0.500
11 Nd 0.500 0.000 0.500
12 Nd 0.500 0.500 0.000
13 Y 0.500 0.500 0.500

Computed, not measured: a relaxed structure of La2Nd7Y3 at the PBE level of DFT.

The formation energy is 60 meV per atom. The calculation puts the spin magnetization at 0.0 μB/cell. As for the symmetry: P2/m, No. 10. The calculated volume is 34.97 A^3/atom. The total energy comes out at -5.158 eV/atom.

a = 6.540 Å, b = 3.605 Å, c = 17.890 Å
α = 90.00°, β = 95.81°, γ = 90.00°
Atoms (fractional coordinates):
1 La 0.057 0.000 0.170
2 La 0.943 0.000 0.830
3 Nd 0.000 0.500 0.500
4 Nd 0.229 0.000 0.668
5 Nd 0.258 0.000 0.997
6 Nd 0.277 0.500 0.336
7 Nd 0.723 0.500 0.664
8 Nd 0.742 0.000 0.003
9 Nd 0.771 0.000 0.332
10 Y 0.455 0.500 0.841
11 Y 0.500 0.000 0.500
12 Y 0.545 0.500 0.159

Computed, not measured: a relaxed structure of La6Nd4Y at the PBE level of DFT.

The formation energy is 254 meV per atom. The calculation puts the spin magnetization at 0.0 μB/cell. As for the symmetry: I-42m, No. 121. The calculated volume is 36.85 A^3/atom. The total energy comes out at -4.755 eV/atom.

a = 9.573 Å, b = 9.573 Å, c = 9.573 Å
α = 136.84°, β = 136.84°, γ = 62.68°
Atoms (fractional coordinates):
1 La 0.000 0.500 0.500
2 La 0.005 0.629 0.000
3 La 0.371 0.371 0.376
4 La 0.500 0.000 0.500
5 La 0.629 0.005 0.000
6 La 0.995 0.995 0.624
7 Nd 0.225 0.225 0.663
8 Nd 0.438 0.775 0.000
9 Nd 0.562 0.562 0.337
10 Nd 0.775 0.438 0.000
11 Y 0.000 0.000 0.000

Computed, not measured: a relaxed structure of La2Nd5Y12 at the PBE level of DFT.

The formation energy is 127 meV per atom. The calculation puts the spin magnetization at 0.0 μB/cell. As for the symmetry: C2/m, No. 12. The calculated volume is 34.36 A^3/atom. The total energy comes out at -5.729 eV/atom.

a = 9.185 Å, b = 9.185 Å, c = 8.765 Å
α = 91.77°, β = 91.77°, γ = 62.04°
Atoms (fractional coordinates):
1 La 0.176 0.824 0.000
2 La 0.824 0.176 0.000
3 Nd 0.205 0.205 0.018
4 Nd 0.270 0.270 0.427
5 Nd 0.500 0.500 0.500
6 Nd 0.730 0.730 0.573
7 Nd 0.795 0.795 0.982
8 Y 0.058 0.058 0.332
9 Y 0.060 0.682 0.341
10 Y 0.173 0.528 0.759
11 Y 0.318 0.940 0.659
12 Y 0.422 0.422 0.125
13 Y 0.472 0.827 0.241
14 Y 0.528 0.173 0.759
15 Y 0.578 0.578 0.875
16 Y 0.682 0.060 0.341
17 Y 0.827 0.472 0.241
18 Y 0.940 0.318 0.659
19 Y 0.942 0.942 0.668

Computed, not measured: a relaxed structure of La5NdY2 at the PBE level of DFT.

The formation energy is 112 meV per atom. The calculation puts the spin magnetization at 0.0 μB/cell. As for the symmetry: Cmcm, No. 63. The calculated volume is 36.24 A^3/atom. The total energy comes out at -5.180 eV/atom.

a = 6.724 Å, b = 6.724 Å, c = 16.651 Å
α = 90.00°, β = 90.00°, γ = 129.62°
Atoms (fractional coordinates):
1 La 0.030 0.970 0.750
2 La 0.116 0.884 0.051
3 La 0.116 0.884 0.449
4 La 0.424 0.576 0.093
5 La 0.424 0.576 0.407
6 La 0.576 0.424 0.593
7 La 0.576 0.424 0.907
8 La 0.884 0.116 0.551
9 La 0.884 0.116 0.949
10 La 0.970 0.030 0.250
11 Nd 0.249 0.751 0.250
12 Nd 0.751 0.249 0.750
13 Y 0.274 0.726 0.635
14 Y 0.274 0.726 0.865
15 Y 0.726 0.274 0.135
16 Y 0.726 0.274 0.365

Computed, not measured: a relaxed structure of La2Nd5Y at the PBE level of DFT.

The formation energy is 122 meV per atom. The calculation puts the spin magnetization at 0.0 μB/cell. As for the symmetry: Cmcm, No. 63. The calculated volume is 36.12 A^3/atom. The total energy comes out at -4.898 eV/atom.

a = 6.706 Å, b = 6.706 Å, c = 16.545 Å
α = 90.00°, β = 90.00°, γ = 129.03°
Atoms (fractional coordinates):
1 La 0.222 0.778 0.630
2 La 0.222 0.778 0.870
3 La 0.778 0.222 0.130
4 La 0.778 0.222 0.370
5 Nd 0.077 0.923 0.091
6 Nd 0.077 0.923 0.409
7 Nd 0.382 0.618 0.052
8 Nd 0.382 0.618 0.448
9 Nd 0.464 0.536 0.750
10 Nd 0.536 0.464 0.250
11 Nd 0.618 0.382 0.552
12 Nd 0.618 0.382 0.948
13 Nd 0.923 0.077 0.591
14 Nd 0.923 0.077 0.909
15 Y 0.257 0.743 0.250
16 Y 0.743 0.257 0.750

Computed, not measured: a relaxed structure of LaNd3Y4 at the PBE level of DFT.

The formation energy is 24 meV per atom. The calculation puts the spin magnetization at 0.0 μB/cell. As for the symmetry: Pmn2_1, No. 31. The calculated volume is 34.32 A^3/atom. The total energy comes out at -5.612 eV/atom.

a = 11.673 Å, b = 7.381 Å, c = 6.374 Å
α = 90.00°, β = 90.00°, γ = 90.00°
Atoms (fractional coordinates):
1 La 0.000 0.124 0.000
2 La 0.500 0.876 0.500
3 Nd 0.000 0.873 0.501
4 Nd 0.249 0.127 0.331
5 Nd 0.251 0.873 0.831
6 Nd 0.500 0.127 0.001
7 Nd 0.749 0.873 0.831
8 Nd 0.751 0.127 0.331
9 Y 0.000 0.379 0.497
10 Y 0.000 0.623 0.998
11 Y 0.249 0.622 0.333
12 Y 0.251 0.378 0.833
13 Y 0.500 0.377 0.498
14 Y 0.500 0.621 0.997
15 Y 0.749 0.378 0.833
16 Y 0.751 0.622 0.333

Computed, not measured: a relaxed structure of La12Nd5Y2 at the PBE level of DFT.

The formation energy is 79 meV per atom. The calculation puts the spin magnetization at 0.0 μB/cell. As for the symmetry: P-1, No. 2. The calculated volume is 36.09 A^3/atom. The total energy comes out at -4.968 eV/atom.

a = 6.453 Å, b = 9.719 Å, c = 11.862 Å
α = 68.31°, β = 83.19°, γ = 85.33°
Atoms (fractional coordinates):
1 La 0.025 0.448 0.363
2 La 0.238 0.908 0.471
3 La 0.241 0.561 0.047
4 La 0.246 0.163 0.610
5 La 0.291 0.326 0.871
6 La 0.355 0.950 0.903
7 La 0.645 0.050 0.097
8 La 0.709 0.674 0.129
9 La 0.754 0.837 0.390
10 La 0.759 0.439 0.953
11 La 0.762 0.092 0.529
12 La 0.975 0.552 0.637
13 Nd 0.057 0.190 0.194
14 Nd 0.483 0.712 0.723
15 Nd 0.500 0.500 0.500
16 Nd 0.517 0.288 0.277
17 Nd 0.943 0.810 0.806
18 Y 0.209 0.809 0.216
19 Y 0.791 0.191 0.784

Computed, not measured: a relaxed structure of La4Nd10Y at the PBE level of DFT.

The formation energy is 217 meV per atom. The calculation puts the spin magnetization at 0.0 μB/cell. As for the symmetry: I4/mmm, No. 139. The calculated volume is 36.58 A^3/atom. The total energy comes out at -4.707 eV/atom.

a = 9.190 Å, b = 9.190 Å, c = 9.190 Å
α = 101.00°, β = 101.00°, γ = 128.19°
Atoms (fractional coordinates):
1 La 0.227 0.227 0.454
2 La 0.227 0.773 0.000
3 La 0.773 0.227 0.000
4 La 0.773 0.773 0.546
5 Nd 0.080 0.290 0.790
6 Nd 0.250 0.750 0.500
7 Nd 0.290 0.080 0.790
8 Nd 0.290 0.500 0.210
9 Nd 0.500 0.290 0.210
10 Nd 0.500 0.710 0.790
11 Nd 0.710 0.500 0.790
12 Nd 0.710 0.920 0.210
13 Nd 0.750 0.250 0.500
14 Nd 0.920 0.710 0.210
15 Y 0.000 0.000 0.000

Computed, not measured: a relaxed structure of La3Nd3Y4 at the PBE level of DFT.

The formation energy is 93 meV per atom. The calculation puts the spin magnetization at 0.5 μB/cell. As for the symmetry: Amm2, No. 38. The calculated volume is 35.61 A^3/atom. The total energy comes out at -5.401 eV/atom.

a = 3.674 Å, b = 9.845 Å, c = 9.845 Å
α = 89.97°, β = 90.00°, γ = 90.00°
Atoms (fractional coordinates):
1 La 0.000 0.000 0.000
2 La 0.500 0.326 0.824
3 La 0.500 0.824 0.326
4 Nd 0.000 0.150 0.500
5 Nd 0.000 0.500 0.150
6 Nd 0.000 0.649 0.649
7 Y 0.500 0.204 0.204
8 Y 0.500 0.447 0.447
9 Y 0.500 0.701 0.945
10 Y 0.500 0.945 0.701

Computed, not measured: a relaxed structure of La5NdY3 at the PBE level of DFT.

The formation energy is 236 meV per atom. The calculation puts the spin magnetization at 0.0 μB/cell. As for the symmetry: C2/c, No. 15. The calculated volume is 36.62 A^3/atom. The total energy comes out at -5.185 eV/atom.

a = 10.072 Å, b = 10.072 Å, c = 11.538 Å
α = 113.09°, β = 113.09°, γ = 38.24°
Atoms (fractional coordinates):
1 La 0.033 0.627 0.287
2 La 0.093 0.907 0.750
3 La 0.153 0.508 0.639
4 La 0.373 0.967 0.213
5 La 0.492 0.847 0.861
6 La 0.508 0.153 0.139
7 La 0.627 0.033 0.787
8 La 0.847 0.492 0.361
9 La 0.907 0.093 0.250
10 La 0.967 0.373 0.713
11 Nd 0.365 0.635 0.250
12 Nd 0.635 0.365 0.750
13 Y 0.047 0.634 0.985
14 Y 0.366 0.953 0.515
15 Y 0.500 0.500 0.000
16 Y 0.500 0.500 0.500
17 Y 0.634 0.047 0.485
18 Y 0.953 0.366 0.015

Computed, not measured: a relaxed structure of La8Nd6Y at the PBE level of DFT.

The formation energy is 142 meV per atom. The calculation puts the spin magnetization at 0.0 μB/cell. As for the symmetry: P-3, No. 147. The calculated volume is 36.27 A^3/atom. The total energy comes out at -4.824 eV/atom.

a = 9.625 Å, b = 9.625 Å, c = 6.782 Å
α = 90.00°, β = 90.00°, γ = 120.00°
Atoms (fractional coordinates):
1 La 0.033 0.290 0.338
2 La 0.256 0.967 0.338
3 La 0.290 0.256 0.662
4 La 0.333 0.667 0.387
5 La 0.667 0.333 0.613
6 La 0.710 0.744 0.338
7 La 0.744 0.033 0.662
8 La 0.967 0.710 0.662
9 Nd 0.088 0.428 0.849
10 Nd 0.340 0.912 0.849
11 Nd 0.428 0.340 0.151
12 Nd 0.572 0.660 0.849
13 Nd 0.660 0.088 0.151
14 Nd 0.912 0.572 0.151
15 Y 0.000 0.000 0.000

Computed, not measured: a relaxed structure of La6NdY8 at the PBE level of DFT.

The formation energy is 111 meV per atom. The calculation puts the spin magnetization at 0.0 μB/cell. As for the symmetry: R-3, No. 148. The calculated volume is 34.67 A^3/atom. The total energy comes out at -5.625 eV/atom.

a = 8.908 Å, b = 8.908 Å, c = 8.908 Å
α = 61.80°, β = 61.80°, γ = 61.80°
Atoms (fractional coordinates):
1 La 0.034 0.590 0.737
2 La 0.263 0.966 0.410
3 La 0.410 0.263 0.966
4 La 0.590 0.737 0.034
5 La 0.737 0.034 0.590
6 La 0.966 0.410 0.263
7 Nd 0.500 0.500 0.500
8 Y 0.077 0.077 0.077
9 Y 0.199 0.614 0.269
10 Y 0.269 0.199 0.614
11 Y 0.386 0.731 0.801
12 Y 0.614 0.269 0.199
13 Y 0.731 0.801 0.386
14 Y 0.801 0.386 0.731
15 Y 0.923 0.923 0.923

Computed, not measured: a relaxed structure of LaNd5Y5 at the PBE level of DFT.

The formation energy is 295 meV per atom. The calculation puts the spin magnetization at 0.0 μB/cell. As for the symmetry: P-6m2, No. 187. The calculated volume is 35.43 A^3/atom. The total energy comes out at -5.258 eV/atom.

a = 6.248 Å, b = 6.248 Å, c = 11.531 Å
α = 90.00°, β = 90.00°, γ = 120.00°
Atoms (fractional coordinates):
1 La 0.000 0.000 0.000
2 Nd 0.008 0.504 0.500
3 Nd 0.496 0.504 0.500
4 Nd 0.496 0.992 0.500
5 Nd 0.667 0.333 0.264
6 Nd 0.667 0.333 0.736
7 Y 0.000 0.000 0.331
8 Y 0.000 0.000 0.669
9 Y 0.333 0.667 0.163
10 Y 0.333 0.667 0.837
11 Y 0.667 0.333 0.000

Computed, not measured: a relaxed structure of La12NdY7 at the PBE level of DFT.

The formation energy is 84 meV per atom. The calculation puts the spin magnetization at 0.0 μB/cell. As for the symmetry: R-3m, No. 166. The calculated volume is 35.39 A^3/atom. The total energy comes out at -5.373 eV/atom.

a = 9.038 Å, b = 9.038 Å, c = 9.038 Å
α = 99.01°, β = 99.01°, γ = 99.01°
Atoms (fractional coordinates):
1 La 0.000 0.260 0.740
2 La 0.000 0.740 0.260
3 La 0.145 0.145 0.414
4 La 0.145 0.414 0.145
5 La 0.260 0.000 0.740
6 La 0.260 0.740 0.000
7 La 0.414 0.145 0.145
8 La 0.586 0.855 0.855
9 La 0.740 0.000 0.260
10 La 0.740 0.260 0.000
11 La 0.855 0.586 0.855
12 La 0.855 0.855 0.586
13 Nd 0.500 0.500 0.500
14 Y 0.000 0.000 0.000
15 Y 0.164 0.596 0.596
16 Y 0.404 0.404 0.836
17 Y 0.404 0.836 0.404
18 Y 0.596 0.164 0.596
19 Y 0.596 0.596 0.164
20 Y 0.836 0.404 0.404

Computed, not measured: a relaxed structure of La4Nd3Y at the PBE level of DFT.

The formation energy is 194 meV per atom. The calculation puts the spin magnetization at 0.0 μB/cell. As for the symmetry: C2/m, No. 12. The calculated volume is 36.03 A^3/atom. The total energy comes out at -4.865 eV/atom.

a = 12.987 Å, b = 12.987 Å, c = 6.337 Å
α = 93.20°, β = 93.20°, γ = 15.67°
Atoms (fractional coordinates):
1 La 0.106 0.106 0.235
2 La 0.280 0.280 0.754
3 La 0.720 0.720 0.246
4 La 0.894 0.894 0.765
5 Nd 0.000 0.000 0.500
6 Nd 0.143 0.143 0.744
7 Nd 0.857 0.857 0.256
8 Y 0.500 0.500 0.000

Computed, not measured: a relaxed structure of LaNd6Y at the PBE level of DFT.

The formation energy is 16 meV per atom. The calculation puts the spin magnetization at 0.0 μB/cell. As for the symmetry: P4/mmm, No. 123. The calculated volume is 35.13 A^3/atom. The total energy comes out at -4.984 eV/atom.

a = 5.199 Å, b = 5.199 Å, c = 10.401 Å
α = 90.00°, β = 90.00°, γ = 90.00°
Atoms (fractional coordinates):
1 La 0.000 0.000 0.000
2 Nd 0.000 0.500 0.253
3 Nd 0.000 0.500 0.747
4 Nd 0.500 0.000 0.253
5 Nd 0.500 0.000 0.747
6 Nd 0.500 0.500 0.000
7 Nd 0.500 0.500 0.500
8 Y 0.000 0.000 0.500